[1]
The following is a DFT calculation (PBE) of crystalline Tl2CrTeS4 at its relaxed geometry.

Cell lengths 6.6051, 6.6051, 6.6051 Å; angles 111.78, 108.33, 108.33 degrees
Atoms (fractional coordinates):
1 Tl 0.5000 0.7500 0.2500
2 Tl 0.0000 0.0000 0.0000
3 Cr 0.5000 0.2500 0.7500
4 Te 0.0000 0.5000 0.5000
5 S 0.5341 0.2650 0.4459
6 S 0.1808 0.2691 0.7350
7 S 0.8192 0.5541 0.0882
8 S 0.4659 0.9118 0.7309

Computed properties:
- Total moment: 0.00 μB per formula unit
- Energy relative to the elements, uncorrected: -0.2626 eV/atom
- Energy: -4.513 eV/atom
- ρ: 5.37 g cm⁻³

---

[2]
The following is a DFT calculation (PBE) of crystalline TlCrTeS at its relaxed geometry.

Cell lengths 3.3575, 3.3575, 9.3571 Å; angles 89.98, 89.98, 60.00 degrees
Site moments in Bohr magnetons follow the coordinates.
Atoms (fractional coordinates):
1 Tl 0.2021 0.2020 0.0317  0.01
2 Cr 0.5345 0.5345 0.5902  0.49
3 Te 0.8680 0.8680 0.3978  -0.04
4 S 0.8678 0.8678 0.7292  -0.03

Computed properties:
- Total moment: 0.41 μB per formula unit
- Energy relative to the elements, uncorrected: -0.2240 eV/atom
- Energy: -5.039 eV/atom
- ρ: 7.56 g cm⁻³

---

[3]
The following is a DFT calculation (PBE) of crystalline Th3Cr5S12 at its relaxed geometry.

Cell lengths 13.0672, 13.0672, 13.0672 Å; angles 109.47, 109.47, 109.47 degrees
Site moments in Bohr magnetons follow the coordinates.
Atoms (fractional coordinates):
1 Th 0.7500 0.3750 0.1250  0.19
2 Th 0.8750 0.7500 0.1250  0.19
3 Th 0.3750 0.7500 0.6250  0.19
4 Th 0.2500 0.1250 0.3750  0.19
5 Th 0.8750 0.1250 0.2500  0.19
6 Th 0.3750 0.6250 0.2500  0.19
7 Th 0.6250 0.3750 0.7500  0.19
8 Th 0.1250 0.8750 0.7500  0.19
9 Th 0.7500 0.8750 0.6250  0.19
10 Th 0.6250 0.2500 0.3750  0.19
11 Th 0.1250 0.2500 0.8750  0.19
12 Th 0.2500 0.6250 0.8750  0.19
13 Cr 0.1250 0.3750 0.2500  3.19
14 Cr 0.0000 0.5000 0.0000  3.16
15 Cr 0.0000 0.0000 0.0000  3.16
16 Cr 0.3750 0.2500 0.1250  3.19
17 Cr 0.5000 0.0000 0.5000  3.16
18 Cr 0.5000 0.5000 0.0000  3.16
19 Cr 0.1250 0.7500 0.3750  3.19
20 Cr 0.7500 0.1250 0.8750  3.19
21 Cr 0.7500 0.6250 0.3750  3.19
22 Cr 0.3750 0.1250 0.7500  3.19
23 Cr 0.6250 0.8750 0.2500  3.19
24 Cr 0.5000 0.5000 0.5000  3.16
25 Cr 0.5000 0.0000 0.0000  3.16
26 Cr 0.0000 0.0000 0.5000  3.16
27 Cr 0.2500 0.3750 0.6250  3.19
28 Cr 0.2500 0.8750 0.1250  3.19
29 Cr 0.0000 0.5000 0.5000  3.16
30 Cr 0.8750 0.2500 0.6250  3.19
31 Cr 0.6250 0.7500 0.8750  3.19
32 Cr 0.8750 0.6250 0.7500  3.19
33 S 0.7072 0.1214 0.0317  -0.06
34 S 0.3244 0.5317 0.4102  -0.06
35 S 0.9683 0.3786 0.2928  -0.06
36 S 0.5317 0.2072 0.1214  -0.06
37 S 0.5858 0.7072 0.6756  -0.06
38 S 0.9683 0.5898 0.1756  -0.06
39 S 0.3244 0.7928 0.4142  -0.06
40 S 0.0898 0.9142 0.1214  -0.06
41 S 0.5898 0.9683 0.6756  -0.06
42 S 0.7072 0.5858 0.1756  -0.06
43 S 0.7928 0.4683 0.3786  -0.06
44 S 0.8244 0.9102 0.0317  -0.06
45 S 0.1214 0.7072 0.5317  -0.06
46 S 0.3786 0.4102 0.0858  -0.06
47 S 0.0858 0.9102 0.3786  -0.06
48 S 0.4142 0.1214 0.5898  -0.06
49 S 0.0858 0.1756 0.2072  -0.06
50 S 0.4683 0.6756 0.0898  -0.06
51 S 0.8244 0.9142 0.2928  -0.06
52 S 0.1214 0.4142 0.0898  -0.06
53 S 0.3786 0.9683 0.7928  -0.06
54 S 0.5898 0.6214 0.4142  -0.06
55 S 0.9102 0.8244 0.5317  -0.06
56 S 0.7928 0.3244 0.9142  -0.06
57 S 0.4102 0.3786 0.5858  -0.06
58 S 0.0898 0.1756 0.4683  -0.06
59 S 0.2072 0.6756 0.0858  -0.06
60 S 0.1756 0.0858 0.7072  -0.06
61 S 0.6214 0.0317 0.2072  -0.06
62 S 0.8786 0.5858 0.9102  -0.06
63 S 0.5317 0.3244 0.9102  -0.06
64 S 0.5858 0.8786 0.4102  -0.06
65 S 0.9142 0.8244 0.7928  -0.06
66 S 0.9142 0.0898 0.6214  -0.06
67 S 0.8786 0.2928 0.4683  -0.06
68 S 0.1756 0.0898 0.9683  -0.06
69 S 0.6214 0.5898 0.9142  -0.06
70 S 0.4102 0.0317 0.3244  -0.06
71 S 0.2928 0.4142 0.8244  -0.06
72 S 0.2072 0.5317 0.6214  -0.06
73 S 0.9102 0.0858 0.8786  -0.06
74 S 0.6756 0.2072 0.5858  -0.06
75 S 0.4683 0.7928 0.8786  -0.06
76 S 0.0317 0.4102 0.8244  -0.06
77 S 0.4142 0.2928 0.3244  -0.06
78 S 0.0317 0.6214 0.7072  -0.06
79 S 0.6756 0.4683 0.5898  -0.06
80 S 0.2928 0.8786 0.9683  -0.06

Computed properties:
- Total moment: 18.00 μB per formula unit
- Energy relative to the elements, uncorrected: -1.1545 eV/atom
- Energy: -7.150 eV/atom
- ρ: 5.19 g cm⁻³